# 1
# ScC3

Crystalline ScC3 at its relaxed geometry (PBE-GGA, the Alexandria database).

Properties
Space group: Pmm2
DFT total energy, eV for the cell shown: -29.2
Magnetization, μB per formula unit: 0.000

Lattice parameters (Å, degrees): 2.7555 3.3747 3.8256 90.00 90.00 90.00
Sites, in units of the cell vectors:
Sc  0.0000  0.0000  0.0000
C  0.0000  0.5000  0.5377
C  0.5000  0.0000  0.5165
C  0.5000  0.5000  0.3211

# 2
# GeBi2P

Crystalline GeBi2P at its relaxed geometry (PBE-GGA, the Alexandria database).

Properties
Space group: I-42d
DFT total energy, eV for the cell shown: -32.5
Magnetization, μB per formula unit: 0.000

Lattice parameters (Å, degrees): 8.4712 8.4712 8.4712 137.42 137.42 61.80
Sites, in units of the cell vectors:
Ge  0.0000  0.0000  0.0000
Ge  0.7500  0.2500  0.5000
Bi  0.1410  0.6250  0.0160
Bi  0.3750  0.3910  0.5160
Bi  0.6090  0.1250  0.9840
Bi  0.8750  0.8590  0.4840
P  0.2500  0.7500  0.5000
P  0.5000  0.5000  0.0000

# 3
# ScSi2Hg

Crystalline ScSi2Hg at its relaxed geometry (PBE-GGA, the Alexandria database).

Properties
Formation energy from raw total energies, eV per atom: -0.11
Space group: I-4m2
DFT total energy, eV for the cell shown: -17.9
Magnetization, μB per formula unit: 0.000

Lattice parameters (Å, degrees): 5.4266 5.4266 5.4266 137.65 137.65 61.44
Sites, in units of the cell vectors:
Sc  0.0000  0.0000  0.0000
Si  0.2500  0.7500  0.5000
Si  0.5000  0.5000  0.0000
Hg  0.7500  0.2500  0.5000

# 4
# TbPm3Tm3

Crystalline TbPm3Tm3 at its relaxed geometry (PBE-GGA, the Alexandria database).

Properties
Space group: P6_3/m
DFT total energy, eV for the cell shown: -64.4
Magnetization, μB per formula unit: 0.000

Lattice parameters (Å, degrees): 9.5833 9.5833 5.7111 90.00 90.00 120.00
Sites, in units of the cell vectors:
Tb  0.3333  0.6667  0.2500
Tb  0.6667  0.3333  0.7500
Pm  0.0494  0.8067  0.2500
Pm  0.1933  0.2427  0.2500
Pm  0.2427  0.0494  0.7500
Pm  0.7573  0.9506  0.2500
Pm  0.8067  0.7573  0.7500
Pm  0.9506  0.1933  0.7500
Tm  0.0951  0.6163  0.7500
Tm  0.3837  0.4788  0.7500
Tm  0.4788  0.0951  0.2500
Tm  0.5212  0.9049  0.7500
Tm  0.6163  0.5212  0.2500
Tm  0.9049  0.3837  0.2500

# 5
# ZnPbN

Crystalline ZnPbN at its relaxed geometry (PBE-GGA, the Alexandria database).

Properties
Formation energy from raw total energies, eV per atom: 0.31
Space group: Pmmn
DFT total energy, eV for the cell shown: -24.8
Magnetization, μB per formula unit: 0.000

Lattice parameters (Å, degrees): 3.6135 3.6626 8.5132 90.00 90.00 90.00
Sites, in units of the cell vectors:
Zn  0.2500  0.2500  0.0539
Zn  0.7500  0.7500  0.9461
Pb  0.2500  0.2500  0.6585
Pb  0.7500  0.7500  0.3415
N  0.2500  0.7500  0.1352
N  0.7500  0.2500  0.8648

# 6
# Rb3Ga11

Crystalline Rb3Ga11 at its relaxed geometry (PBE-GGA, the Alexandria database).

Properties
Space group: Immm
DFT total energy, eV for the cell shown: -36.7
Magnetization, μB per formula unit: 0.000

Lattice parameters (Å, degrees): 9.3108 9.3108 9.3108 152.34 96.22 90.34
Sites, in units of the cell vectors:
Rb  0.0000  0.0000  0.0000
Rb  0.2781  0.2781  0.0000
Rb  0.7219  0.7219  0.0000
Ga  0.0172  0.3290  0.6881
Ga  0.1783  0.8779  0.3003
Ga  0.3400  0.5000  0.8400
Ga  0.3591  0.6710  0.6881
Ga  0.4224  0.1221  0.3003
Ga  0.5000  0.0000  0.5000
Ga  0.5776  0.8779  0.6997
Ga  0.6409  0.3290  0.3119
Ga  0.6600  0.5000  0.1600
Ga  0.8217  0.1221  0.6997
Ga  0.9828  0.6710  0.3119

# 7
# In3Ga8Ag

Crystalline In3Ga8Ag at its relaxed geometry (PBE-GGA, the Alexandria database).

Properties
Space group: I-42m
DFT total energy, eV for the cell shown: -33.3
Magnetization, μB per formula unit: 0.000

Lattice parameters (Å, degrees): 7.2788 7.2788 7.2788 117.25 117.25 94.84
Sites, in units of the cell vectors:
In  0.0000  0.0000  0.0000
In  0.2500  0.7500  0.5000
In  0.7500  0.2500  0.5000
Ga  0.1335  0.1335  0.7245
Ga  0.2226  0.7078  0.0000
Ga  0.2922  0.2922  0.5148
Ga  0.4089  0.4089  0.2755
Ga  0.5911  0.8665  0.0000
Ga  0.7078  0.2226  0.0000
Ga  0.7774  0.7774  0.4852
Ga  0.8665  0.5911  0.0000
Ag  0.5000  0.5000  0.0000

# 8
# PPtPb2

Crystalline PPtPb2 at its relaxed geometry (PBE-GGA, the Alexandria database).

Properties
Space group: R3m
DFT total energy, eV for the cell shown: -19.4
Magnetization, μB per formula unit: 0.000

Lattice parameters (Å, degrees): 9.5380 9.5380 9.5380 21.10 21.10 21.10
Sites, in units of the cell vectors:
P  0.0000  0.0000  0.0000
Pt  0.2923  0.2923  0.2923
Pb  0.5415  0.5415  0.5415
Pb  0.7650  0.7650  0.7650

# 9
# Pm10Pr4Dy

Crystalline Pm10Pr4Dy at its relaxed geometry (PBE-GGA, the Alexandria database).

Properties
Space group: I4/m
DFT total energy, eV for the cell shown: -66.6
Magnetization, μB per formula unit: 0.000

Lattice parameters (Å, degrees): 8.8355 8.8355 8.8355 111.26 111.26 105.95
Sites, in units of the cell vectors:
Pm  0.0454  0.7234  0.0914
Pm  0.0460  0.9546  0.6780
Pm  0.2500  0.7500  0.5000
Pm  0.2766  0.3680  0.3220
Pm  0.3680  0.0460  0.0914
Pm  0.6320  0.9540  0.9086
Pm  0.7234  0.6320  0.6780
Pm  0.7500  0.2500  0.5000
Pm  0.9540  0.0454  0.3220
Pm  0.9546  0.2766  0.9086
Pr  0.1721  0.5587  0.7309
Pr  0.4413  0.1721  0.6134
Pr  0.5587  0.8279  0.3866
Pr  0.8279  0.4413  0.2691
Dy  0.5000  0.5000  0.0000

# 10
# Nd2SmDyY

Crystalline Nd2SmDyY at its relaxed geometry (PBE-GGA, the Alexandria database).

Properties
Space group: P2/c
DFT total energy, eV for the cell shown: -48.0
Magnetization, μB per formula unit: 0.000

Lattice parameters (Å, degrees): 8.1576 6.8172 6.2309 90.00 90.08 90.00
Sites, in units of the cell vectors:
Nd  0.1962  0.1934  0.2506
Nd  0.1962  0.8066  0.7506
Nd  0.8038  0.1934  0.2494
Nd  0.8038  0.8066  0.7494
Sm  0.5000  0.5000  0.0000
Sm  0.5000  0.5000  0.5000
Dy  0.0000  0.3421  0.7500
Dy  0.0000  0.6579  0.2500
Y  0.5000  0.0843  0.7500
Y  0.5000  0.9157  0.2500

# 11
# Y2VPt

Crystalline Y2VPt at its relaxed geometry (PBE-GGA, the Alexandria database).

Properties
Space group: Fm-3m
DFT total energy, eV for the cell shown: -29.6
Magnetization, μB per formula unit: 3.374

Lattice parameters (Å, degrees): 4.9942 4.9942 4.9942 60.00 60.00 60.00
Sites, in units of the cell vectors:
Y  0.2500  0.2500  0.2500
Y  0.7500  0.7500  0.7500
V  0.0000  0.0000  0.0000
Pt  0.5000  0.5000  0.5000

# 12
# KReBi3

Crystalline KReBi3 at its relaxed geometry (PBE-GGA, the Alexandria database).

Properties
Space group: Pm-3m
DFT total energy, eV for the cell shown: -22.5
Magnetization, μB per formula unit: 1.182

Lattice parameters (Å, degrees): 5.5023 5.5023 5.5023 90.00 90.00 90.00
Sites, in units of the cell vectors:
K  0.0000  0.0000  0.0000
Re  0.5000  0.5000  0.5000
Bi  0.0000  0.5000  0.5000
Bi  0.5000  0.0000  0.5000
Bi  0.5000  0.5000  0.0000